# PBE Co2OsPd, relaxed
data_Co2OsPd
_symmetry_space_group_name_H-M 'P 1'
_symmetry_Int_Tables_number 1
_cell_length_a 6.543
_cell_length_b 6.543
_cell_length_c 5.324
_cell_angle_alpha 52.09
_cell_angle_beta 52.09
_cell_angle_gamma 90.00
loop_
_symmetry_equiv_pos_as_xyz
'x,y,z'
loop_
_atom_site_label
_atom_site_type_symbol
_atom_site_fract_x
_atom_site_fract_y
_atom_site_fract_z
Co1 Co 0.652 0.125 0.250
Co2 Co 0.375 0.348 0.750
Co3 Co 0.875 0.902 0.750
Co4 Co 0.098 0.625 0.250
Os1 Os 0.000 0.000 0.000
Os2 Os 0.750 0.250 0.500
Pd1 Pd 0.250 0.750 0.500
Pd2 Pd 0.500 0.500 0.000
# Energy = -55.56 eV for the cell shown
# Energy above the most stable polymorph in this dataset = 0.550 eV/atom
# DOS at the Fermi energy = 6.11 states/eV/f.u.